No. 1
A plane-wave DFT calculation with PBE was carried out for a relaxed Ac2CoCu crystal.

## Properties
Symmetry: R-3m

Unit cell a=4.143 b=4.143 c=9.515 alpha=77.43 beta=77.43 gamma=60.00
Atoms (fractional coordinates):
Ac1 0.109 0.109 0.672
Ac2 0.891 0.891 0.328
Co1 0.500 0.500 0.500
Cu1 0.000 0.000 0.000

---

No. 2
A plane-wave DFT calculation with PBE was carried out for a relaxed Ac3Co3Cu crystal.

## Properties
Symmetry: Cmcm

Unit cell a=4.524 b=5.817 c=13.148 alpha=90.00 beta=90.00 gamma=112.88
Atoms (fractional coordinates):
Ac1 0.229 0.458 0.896
Ac2 0.771 0.542 0.104
Ac3 0.229 0.458 0.604
Ac4 0.771 0.542 0.396
Ac5 0.520 0.040 0.750
Ac6 0.480 0.960 0.250
Co1 0.939 0.879 0.918
Co2 0.061 0.121 0.082
Co3 0.939 0.879 0.582
Co4 0.061 0.121 0.418
Co5 0.842 0.683 0.750
Co6 0.158 0.317 0.250
Cu1 0.500 0.000 0.000
Cu2 0.500 0.000 0.500

---

No. 3
A plane-wave DFT calculation with PBE was carried out for a relaxed AcCoCu crystal.

## Properties
Symmetry: P-6m2

Unit cell a=4.225 b=4.214 c=4.214 alpha=120.00 beta=90.00 gamma=90.00
Atoms (fractional coordinates):
Ac1 0.667 0.333 0.667
Co1 0.166 0.667 0.333
Cu1 0.167 0.000 0.000

---

No. 4
A plane-wave DFT calculation with PBE was carried out for a relaxed Ac2CoCu crystal.

## Properties
Symmetry: P4/mmm

Unit cell a=3.706 b=3.706 c=7.596 alpha=90.00 beta=90.00 gamma=90.00
Atoms (fractional coordinates):
Ac1 0.000 0.000 0.760
Ac2 0.000 0.000 0.240
Co1 0.500 0.500 0.000
Cu1 0.500 0.500 0.500

---

No. 5
A plane-wave DFT calculation with PBE was carried out for a relaxed Ac6Co3Cu crystal.

## Properties
Symmetry: P2_1/m

Unit cell a=4.232 b=12.200 c=13.105 alpha=113.01 beta=90.00 gamma=90.00
Atoms (fractional coordinates):
Ac1 0.250 0.406 0.571
Ac2 0.750 0.594 0.429
Ac3 0.250 0.912 0.066
Ac4 0.750 0.088 0.934
Ac5 0.250 0.932 0.603
Ac6 0.750 0.068 0.397
Ac7 0.250 0.751 0.279
Ac8 0.750 0.249 0.721
Ac9 0.250 0.546 0.893
Ac10 0.750 0.454 0.107
Ac11 0.250 0.255 0.235
Ac12 0.750 0.745 0.765
Co1 0.250 0.166 0.559
Co2 0.750 0.834 0.441
Co3 0.250 0.505 0.268
Co4 0.750 0.495 0.732
Co5 0.250 0.911 0.839
Co6 0.750 0.089 0.161
Cu1 0.250 0.293 0.926
Cu2 0.750 0.707 0.074

---

No. 6
A plane-wave DFT calculation with PBE was carried out for a relaxed Ac2CoCu crystal.

## Properties
Symmetry: R3m

Unit cell a=4.227 b=4.226 c=7.973 alpha=74.59 beta=74.63 gamma=59.99
Atoms (fractional coordinates):
Ac1 0.888 0.651 0.572
Ac2 0.717 0.480 0.085
Co1 0.136 0.899 0.830
Cu1 0.469 0.232 0.829

---

No. 7
A plane-wave DFT calculation with PBE was carried out for a relaxed Ac8CoCu2 crystal.

## Properties
Symmetry: C2/m

Unit cell a=4.091 b=9.780 c=10.162 alpha=92.88 beta=101.61 gamma=90.00
Atoms (fractional coordinates):
Ac1 0.594 0.520 0.189
Ac2 0.350 0.014 0.699
Ac3 0.229 0.326 0.458
Ac4 0.992 0.800 0.983
Ac5 0.771 0.674 0.542
Ac6 0.650 0.986 0.301
Ac7 0.406 0.480 0.811
Ac8 0.008 0.200 0.017
Co1 0.500 0.000 0.000
Cu1 0.159 0.735 0.318
Cu2 0.841 0.265 0.682

---

No. 8
A plane-wave DFT calculation with PBE was carried out for a relaxed Ac19Co6Cu4 crystal.

## Properties
Symmetry: I23

Unit cell a=10.713 b=10.713 c=10.713 alpha=109.47 beta=109.47 gamma=109.47
Atoms (fractional coordinates):
Ac1 0.711 0.000 0.711
Ac2 0.289 0.000 0.289
Ac3 0.289 0.289 0.000
Ac4 0.711 0.711 0.000
Ac5 0.000 0.711 0.711
Ac6 0.000 0.289 0.289
Ac7 0.000 0.000 0.000
Ac8 0.270 0.224 0.627
Ac9 0.730 0.357 0.954
Ac10 0.597 0.643 0.373
Ac11 0.954 0.730 0.357
Ac12 0.403 0.776 0.046
Ac13 0.627 0.270 0.224
Ac14 0.046 0.403 0.776
Ac15 0.373 0.597 0.643
Ac16 0.776 0.046 0.403
Ac17 0.357 0.954 0.730
Ac18 0.224 0.627 0.270
Ac19 0.643 0.373 0.597
Co1 0.392 0.500 0.892
Co2 0.608 0.500 0.108
Co3 0.108 0.608 0.500
Co4 0.892 0.392 0.500
Co5 0.500 0.892 0.392
Co6 0.500 0.108 0.608
Cu1 0.000 0.000 0.673
Cu2 0.000 0.673 0.000
Cu3 0.327 0.327 0.327
Cu4 0.673 0.000 0.000

---

No. 9
A plane-wave DFT calculation with PBE was carried out for a relaxed Ac12Co6Cu crystal.

## Properties
Symmetry: Im-3

Unit cell a=9.158 b=9.158 c=9.158 alpha=109.47 beta=109.47 gamma=109.47
Atoms (fractional coordinates):
Ac1 0.311 0.123 0.812
Ac2 0.311 0.499 0.188
Ac3 0.689 0.501 0.812
Ac4 0.689 0.877 0.188
Ac5 0.123 0.812 0.311
Ac6 0.499 0.188 0.311
Ac7 0.501 0.812 0.689
Ac8 0.877 0.188 0.689
Ac9 0.812 0.311 0.123
Ac10 0.188 0.311 0.499
Ac11 0.812 0.689 0.501
Ac12 0.188 0.689 0.877
Co1 0.391 0.500 0.891
Co2 0.609 0.500 0.109
Co3 0.500 0.891 0.391
Co4 0.500 0.109 0.609
Co5 0.891 0.391 0.500
Co6 0.109 0.609 0.500
Cu1 0.000 0.000 0.000

---

No. 10
A plane-wave DFT calculation with PBE was carried out for a relaxed AcCoCu crystal.

## Properties
Symmetry: P2_1/c

Unit cell a=5.729 b=6.038 c=7.716 alpha=112.25 beta=90.00 gamma=90.00
Atoms (fractional coordinates):
Ac1 0.882 0.798 0.121
Ac2 0.618 0.798 0.621
Ac3 0.118 0.202 0.879
Ac4 0.382 0.202 0.379
Co1 0.395 0.818 0.964
Co2 0.605 0.182 0.036
Co3 0.895 0.182 0.536
Co4 0.105 0.818 0.464
Cu1 0.398 0.601 0.191
Cu2 0.602 0.399 0.809
Cu3 0.102 0.601 0.691
Cu4 0.898 0.399 0.309

---

No. 11
A plane-wave DFT calculation with PBE was carried out for a relaxed Ac6Co2Cu crystal.

## Properties
Symmetry: C2/m

Unit cell a=4.275 b=8.474 c=9.387 alpha=99.30 beta=103.16 gamma=90.00
Atoms (fractional coordinates):
Ac1 0.331 0.892 0.663
Ac2 0.010 0.261 0.020
Ac3 0.671 0.571 0.342
Ac4 0.990 0.739 0.980
Ac5 0.669 0.108 0.337
Ac6 0.329 0.429 0.658
Co1 0.835 0.666 0.669
Co2 0.165 0.334 0.331
Cu1 0.500 0.000 0.000

---

No. 12
A plane-wave DFT calculation with PBE was carried out for a relaxed AcDyCoCu crystal.

## Properties
Symmetry: F-43m

Unit cell a=5.042 b=5.042 c=5.042 alpha=60.00 beta=60.00 gamma=60.00
Atoms (fractional coordinates):
Ac1 0.500 0.500 0.500
Co1 0.750 0.750 0.750
Cu1 0.250 0.250 0.250
Dy1 0.000 0.000 0.000

---

No. 13
A plane-wave DFT calculation with PBE was carried out for a relaxed AcErCoCu crystal.

## Properties
Symmetry: F-43m

Unit cell a=5.026 b=5.026 c=5.026 alpha=60.00 beta=60.00 gamma=60.00
Atoms (fractional coordinates):
Ac1 0.000 0.000 0.000
Co1 0.750 0.750 0.750
Cu1 0.250 0.250 0.250
Er1 0.500 0.500 0.500

---

No. 14
A plane-wave DFT calculation with PBE was carried out for a relaxed AcEuCoCu crystal.

## Properties
Symmetry: F-43m

Unit cell a=5.129 b=5.129 c=5.129 alpha=60.00 beta=60.00 gamma=60.00
Atoms (fractional coordinates):
Eu1 0.000 0.000 0.000
Ac1 0.500 0.500 0.500
Co1 0.750 0.750 0.750
Cu1 0.250 0.250 0.250

---

Number 1: ΔH_f (0 K) 0.39 eV/atom. Number 2: ΔH_f (0 K) 0.03 eV/atom. Number 3: ΔH_f (0 K) 0.01 eV/atom. Number 4: ΔH_f (0 K) 0.06 eV/atom. Number 5: ΔH_f (0 K) -0.02 eV/atom. Number 6: ΔH_f (0 K) -0.06 eV/atom. Number 7: ΔH_f (0 K) -0.04 eV/atom. Number 8: ΔH_f (0 K) 0.09 eV/atom. Number 9: ΔH_f (0 K) -0.01 eV/atom. Number 10: ΔH_f (0 K) 0.03 eV/atom. Number 11: ΔH_f (0 K) -0.02 eV/atom. Number 12: ΔH_f (0 K) 0.00 eV/atom. Number 13: ΔH_f (0 K) -0.01 eV/atom. Number 14: ΔH_f (0 K) 0.08 eV/atom.